This record from the Alexandria database describes a relaxed structure of K2NbSi. The functional is PBE.

Calculated values
* calculated volume: 806 Å³/cell
* uncorrected energy: -3.569 eV per atom
* formation energy without anion corrections: 19.66 kcal/mol of atoms
* crystal system: tetragonal

The structure in POSCAR format:
```
K2NbSi
1.0
12.752 0.000 0.000
0.000 12.752 0.000
0.000 0.000 4.957
K Nb Si
8 4 4
direct
0.066 0.250 0.125 K
0.250 0.566 0.375 K
0.250 0.934 0.875 K
0.434 0.250 0.625 K
0.566 0.750 0.625 K
0.750 0.066 0.875 K
0.750 0.434 0.375 K
0.934 0.750 0.125 K
0.000 0.000 0.500 Nb
0.000 0.500 0.750 Nb
0.500 0.000 0.250 Nb
0.500 0.500 0.000 Nb
0.000 0.000 0.000 Si
0.000 0.500 0.250 Si
0.500 0.000 0.750 Si
0.500 0.500 0.500 Si
```